Below is crystalline YTm5Th4 at its relaxed geometry, with properties calculated at the PBE-GGA level.

Values from the calculation:
The energy above the lowest structure with this stoichiometry is 0.0000 eV/atom. Its formation enthalpy at 0 K is 26 meV/atom.

abc: 3.535 3.535 25.020
angles: 90.00 90.00 90.00
Fractional coordinates of all 10 atoms:
Th  0.000  0.000  0.400
Tm  0.500  0.500  0.300
Th  0.000  0.000  0.200
Th  0.000  0.000  0.800
Tm  0.500  0.500  0.500
Y  0.000  0.000  0.000
Tm  0.500  0.500  0.700
Tm  0.500  0.500  0.898
Th  0.000  0.000  0.600
Tm  0.500  0.500  0.102